K3FeNi2F9 | PBE+U | relaxed

Structure (POSCAR):
```
K3FeNi2F9
1.0
5.8009 0.0000 0.0000
-2.9005 5.0238 0.0000
0.0000 0.0000 7.1184
K Fe Ni F
3 1 2 9
direct
0.3333 0.6667 0.6684
0.0000 0.0000 0.0000
0.6667 0.3333 0.3316
0.0000 0.0000 0.5000
0.3333 0.6667 0.1642
0.6667 0.3333 0.8358
0.8310 0.1690 0.6706
0.8310 0.6619 0.6706
0.3381 0.1690 0.6706
0.6619 0.8310 0.3294
0.1690 0.3381 0.3294
0.1690 0.8310 0.3294
0.5000 0.0000 0.0000
0.0000 0.5000 0.0000
0.5000 0.5000 0.0000
```

Properties
total magnetic moment: 8.00 Bohr magnetons per cell
calculated density: 3.7 g/cm³
DFT total energy: -4.52 eV/atom